(1)
DFT (meta-GGA SCAN) results for a crystal of Cu2WO4 relaxed with PBEsol.

Energy, eV per atom: -19.302
Space-group type: P-1

Lattice parameters (Å, degrees): 5.834 7.785 8.127 110.51 95.25 93.19
Positions (direct):
1 Cu 0.000 0.000 0.000
2 Cu 0.000 0.000 0.500
3 Cu 0.130 0.367 0.053
4 Cu 0.139 0.244 0.333
5 Cu 0.216 0.696 0.394
6 Cu 0.784 0.304 0.606
7 Cu 0.861 0.756 0.667
8 Cu 0.870 0.633 0.947
9 W 0.348 0.634 0.771
10 W 0.494 0.073 0.821
11 W 0.506 0.927 0.179
12 W 0.652 0.366 0.229
13 O 0.133 0.662 0.598
14 O 0.134 0.533 0.869
15 O 0.252 0.064 0.666
16 O 0.271 0.818 0.243
17 O 0.292 0.921 0.947
18 O 0.420 0.293 0.009
19 O 0.431 0.177 0.287
20 O 0.489 0.444 0.652
21 O 0.511 0.556 0.348
22 O 0.569 0.823 0.713
23 O 0.580 0.707 0.991
24 O 0.708 0.079 0.053
25 O 0.729 0.182 0.757
26 O 0.748 0.936 0.334
27 O 0.866 0.467 0.131
28 O 0.867 0.338 0.402

=====

(2)
DFT (meta-GGA SCAN) results for a crystal of Y2Cu3W6O24 relaxed with PBEsol.

Polymorph energy (0 for the lowest one), meV per atom: 30
Space-group type: P-1

Lattice parameters (Å, degrees): 5.984 6.019 13.446 99.60 90.88 109.73
Positions (direct):
1 Y 0.153 0.025 0.337
2 Y 0.847 0.975 0.663
3 Cu 0.000 0.500 0.500
4 Cu 0.323 0.435 0.145
5 Cu 0.677 0.565 0.855
6 W 0.077 0.326 0.922
7 W 0.238 0.669 0.749
8 W 0.438 0.318 0.588
9 W 0.562 0.682 0.412
10 W 0.762 0.331 0.251
11 W 0.923 0.674 0.078
12 O 0.032 0.467 0.178
13 O 0.052 0.939 0.174
14 O 0.070 0.717 0.639
15 O 0.157 0.305 0.655
16 O 0.190 0.671 0.016
17 O 0.240 0.243 0.013
18 O 0.276 0.055 0.498
19 O 0.312 0.516 0.490
20 O 0.351 0.494 0.846
21 O 0.369 0.959 0.813
22 O 0.389 0.787 0.336
23 O 0.471 0.343 0.315
24 O 0.529 0.657 0.685
25 O 0.611 0.213 0.664
26 O 0.631 0.041 0.187
27 O 0.649 0.506 0.154
28 O 0.688 0.484 0.510
29 O 0.724 0.945 0.502
30 O 0.760 0.757 0.987
31 O 0.810 0.329 0.984
32 O 0.843 0.695 0.345
33 O 0.930 0.283 0.361
34 O 0.948 0.061 0.826
35 O 0.968 0.533 0.822

=====

(3)
DFT (meta-GGA SCAN) results for a crystal of Y2Cu3W6O24 relaxed with PBEsol.

Polymorph energy (0 for the lowest one), meV per atom: 0
Space-group type: P2/c

Lattice parameters (Å, degrees): 9.660 5.828 17.362 90.00 120.90 90.00
Positions (direct):
1 Y 0.163 0.172 0.412
2 Y 0.163 0.828 0.912
3 Y 0.837 0.172 0.088
4 Y 0.837 0.828 0.588
5 Cu 0.000 0.222 0.750
6 Cu 0.000 0.778 0.250
7 Cu 0.333 0.183 0.081
8 Cu 0.333 0.817 0.581
9 Cu 0.667 0.183 0.419
10 Cu 0.667 0.817 0.919
11 W 0.088 0.328 0.586
12 W 0.088 0.672 0.086
13 W 0.266 0.333 0.249
14 W 0.266 0.667 0.749
15 W 0.420 0.317 0.915
16 W 0.420 0.683 0.415
17 W 0.580 0.317 0.585
18 W 0.580 0.683 0.085
19 W 0.734 0.333 0.251
20 W 0.734 0.667 0.751
21 W 0.912 0.328 0.914
22 W 0.912 0.672 0.414
23 O 0.000 0.154 0.640
24 O 0.000 0.154 0.860
25 O 0.000 0.846 0.140
26 O 0.000 0.846 0.360
27 O 0.047 0.392 0.149
28 O 0.047 0.608 0.649
29 O 0.128 0.411 0.019
30 O 0.128 0.589 0.519
31 O 0.147 0.111 0.534
32 O 0.147 0.889 0.034
33 O 0.185 0.123 0.293
34 O 0.185 0.877 0.793
35 O 0.211 0.397 0.813
36 O 0.211 0.603 0.313
37 O 0.287 0.386 0.684
38 O 0.287 0.614 0.184
39 O 0.330 0.163 0.188
40 O 0.330 0.837 0.688
41 O 0.333 0.147 0.971
42 O 0.333 0.853 0.471
43 O 0.378 0.390 0.481
44 O 0.378 0.610 0.981
45 O 0.464 0.409 0.355
46 O 0.464 0.591 0.855
47 O 0.495 0.098 0.877
48 O 0.495 0.902 0.377
49 O 0.505 0.098 0.623
50 O 0.505 0.902 0.123
51 O 0.536 0.409 0.145
52 O 0.536 0.591 0.645
53 O 0.622 0.390 0.019
54 O 0.622 0.610 0.519
55 O 0.667 0.147 0.529
56 O 0.667 0.853 0.029
57 O 0.670 0.163 0.312
58 O 0.670 0.837 0.812
59 O 0.713 0.386 0.816
60 O 0.713 0.614 0.316
61 O 0.789 0.397 0.687
62 O 0.789 0.603 0.187
63 O 0.815 0.123 0.207
64 O 0.815 0.877 0.707
65 O 0.853 0.111 0.966
66 O 0.853 0.889 0.466
67 O 0.872 0.411 0.481
68 O 0.872 0.589 0.981
69 O 0.953 0.392 0.351
70 O 0.953 0.608 0.851

=====

(4)
DFT (meta-GGA SCAN) results for a crystal of ZnCuW2O8 relaxed with PBEsol.

Energy, eV per atom: -20.082
Space-group type: P1

Lattice parameters (Å, degrees): 4.656 4.897 5.773 88.75 86.10 88.26
Positions (direct):
1 Zn 0.000 0.000 0.000
2 Cu 0.007 0.509 0.341
3 W 0.500 0.017 0.503
4 W 0.514 0.512 0.856
5 O 0.243 0.659 0.068
6 O 0.250 0.178 0.315
7 O 0.291 0.707 0.589
8 O 0.292 0.197 0.791
9 O 0.728 0.335 0.564
10 O 0.728 0.828 0.784
11 O 0.758 0.343 0.042
12 O 0.773 0.849 0.308

=====

(5)
DFT (meta-GGA SCAN) results for a crystal of Zn3CuW4O16 relaxed with PBEsol.

Energy, eV per atom: -20.090
Space-group type: P2

Lattice parameters (Å, degrees): 6.698 5.728 6.829 90.00 93.09 90.00
Positions (direct):
1 Zn 0.000 0.000 0.000
2 Zn 0.249 0.649 0.751
3 Zn 0.751 0.649 0.249
4 Cu 0.500 0.992 0.500
5 W 0.000 0.147 0.500
6 W 0.251 0.503 0.250
7 W 0.500 0.144 0.000
8 W 0.749 0.503 0.750
9 O 0.044 0.702 0.199
10 O 0.047 0.220 0.233
11 O 0.200 0.431 0.517
12 O 0.212 0.953 0.548
13 O 0.293 0.947 0.947
14 O 0.298 0.430 0.983
15 O 0.450 0.218 0.267
16 O 0.457 0.700 0.302
17 O 0.543 0.700 0.698
18 O 0.550 0.218 0.733
19 O 0.702 0.430 0.017
20 O 0.707 0.947 0.053
21 O 0.788 0.953 0.452
22 O 0.800 0.431 0.483
23 O 0.953 0.220 0.767
24 O 0.956 0.702 0.801

=====

(6)
DFT (meta-GGA SCAN) results for a crystal of YCuO3 relaxed with PBEsol.

Energy, eV per atom: -14.643
Space-group type: P6_3cm

Lattice parameters (Å, degrees): 6.151 6.151 10.995 90.00 90.00 120.00
Positions (direct):
1 Y 0.000 0.000 0.000
2 Y 0.000 0.000 0.500
3 Y 0.333 0.667 0.039
4 Y 0.333 0.667 0.539
5 Y 0.667 0.333 0.039
6 Y 0.667 0.333 0.539
7 Cu 0.000 0.333 0.273
8 Cu 0.000 0.667 0.773
9 Cu 0.333 0.000 0.273
10 Cu 0.333 0.333 0.773
11 Cu 0.667 0.000 0.773
12 Cu 0.667 0.667 0.273
13 O 0.000 0.000 0.290
14 O 0.000 0.000 0.790
15 O 0.000 0.313 0.109
16 O 0.000 0.353 0.437
17 O 0.000 0.647 0.937
18 O 0.000 0.687 0.609
19 O 0.313 0.000 0.109
20 O 0.313 0.313 0.609
21 O 0.333 0.667 0.259
22 O 0.333 0.667 0.759
23 O 0.353 0.000 0.437
24 O 0.353 0.353 0.937
25 O 0.647 0.000 0.937
26 O 0.647 0.647 0.437
27 O 0.667 0.333 0.259
28 O 0.667 0.333 0.759
29 O 0.687 0.000 0.609
30 O 0.687 0.687 0.109